Below is an optimized crystal structure of Mg4CdAu15, with properties calculated at the PBE level.

Cell lengths 4.1140, 4.1140, 21.2690 Å; angles 90.00, 90.00, 90.00 degrees
Space group P4/mmm (No. 123)
Symmetry-distinct sites (fractional):
1 Mg 0.0000 0.0000 0.0991 x2
2 Mg 0.0000 0.0000 0.2982 x2
3 Cd 0.0000 0.0000 0.5000 x1
4 Au 0.0000 0.5000 0.0000 x2
5 Au 0.0000 0.5000 0.1985 x4
6 Au 0.0000 0.5000 0.3960 x4
7 Au 0.5000 0.5000 0.0992 x2
8 Au 0.5000 0.5000 0.2973 x2
9 Au 0.5000 0.5000 0.5000 x1

* electronic total energy: -63.2 eV for the cell shown